# 1
# SrHf2F GGA-PBE relaxed
# - E above lowest polymorph: 0.0 kJ/mol of atoms
# - Final energy: -98.1 eV for the cell shown
# - Formation energy without anion corrections: -6.127 kcal/mol of atoms
data_SrHf2F
_chemical_formula_sum 'Sr4 Hf8 F4'
_cell_length_a 6.846
_cell_length_b 6.846
_cell_length_c 9.238
_cell_angle_alpha 90.00
_cell_angle_beta 90.00
_cell_angle_gamma 90.00
_symmetry_space_group_name_H-M 'I -4 2 d'
_symmetry_Int_Tables_number 122
_symmetry_space_group_name_Hall 'I -4 2bw'
loop_
_atom_site_label
_atom_site_type_symbol
_atom_site_fract_x
_atom_site_fract_y
_atom_site_fract_z
Sr1 Sr 0.000 0.000 0.000
Hf1 Hf 0.057 0.750 0.625
F1 F 0.000 0.000 0.500

***

# 2
# SrHf3F GGA-PBE relaxed
# - E above lowest polymorph: 199.5 kJ/mol of atoms
# - Final energy: -23.5 eV for the cell shown
# - Formation energy without anion corrections: 45.790 kcal/mol of atoms
data_SrHf3F
_chemical_formula_sum 'Sr1 Hf3 F1'
_cell_length_a 5.250
_cell_length_b 5.250
_cell_length_c 5.250
_cell_angle_alpha 90.00
_cell_angle_beta 90.00
_cell_angle_gamma 90.00
_symmetry_space_group_name_H-M 'P m -3 m'
_symmetry_Int_Tables_number 221
_symmetry_space_group_name_Hall '-P 4 2 3'
loop_
_atom_site_label
_atom_site_type_symbol
_atom_site_fract_x
_atom_site_fract_y
_atom_site_fract_z
Sr1 Sr 0.000 0.000 0.000
Hf1 Hf 0.000 0.000 0.500
F1 F 0.500 0.500 0.500

***

# 3
# SrHf2F11 GGA-PBE relaxed
# - Final energy: -368.0 eV for the cell shown
# - Formation energy without anion corrections: -82.080 kcal/mol of atoms
data_SrHf2F11
_chemical_formula_sum 'Sr4 Hf8 F44'
_cell_length_a 7.872
_cell_length_b 10.268
_cell_length_c 11.431
_cell_angle_alpha 90.00
_cell_angle_beta 90.00
_cell_angle_gamma 90.00
_symmetry_space_group_name_H-M 'I b a m'
_symmetry_Int_Tables_number 72
_symmetry_space_group_name_Hall '-I 2 2c'
loop_
_atom_site_label
_atom_site_type_symbol
_atom_site_fract_x
_atom_site_fract_y
_atom_site_fract_z
Sr1 Sr 0.000 0.000 0.250
Hf1 Hf 0.132 0.320 0.000
F1 F 0.000 0.500 0.000
F2 F 0.105 0.189 0.130
F3 F 0.129 0.280 0.500
F4 F 0.244 0.080 0.375

***

# 4
# SrHfF2 GGA-PBE relaxed
# - E above lowest polymorph: 92.3 kJ/mol of atoms
# - Final energy: -79.2 eV for the cell shown
# - Formation energy without anion corrections: -25.486 kcal/mol of atoms
data_SrHfF2
_chemical_formula_sum 'Sr4 Hf4 F8'
_cell_length_a 6.834
_cell_length_b 6.834
_cell_length_c 6.834
_cell_angle_alpha 90.00
_cell_angle_beta 90.00
_cell_angle_gamma 90.00
_symmetry_space_group_name_H-M 'F m -3 m'
_symmetry_Int_Tables_number 225
_symmetry_space_group_name_Hall '-F 4 2 3'
loop_
_atom_site_label
_atom_site_type_symbol
_atom_site_fract_x
_atom_site_fract_y
_atom_site_fract_z
Sr1 Sr 0.000 0.000 0.000
Hf1 Hf 0.000 0.000 0.500
F1 F 0.250 0.250 0.250

***

# 5
# SrHfF2 GGA-PBE relaxed
# - E above lowest polymorph: 26.9 kJ/mol of atoms
# - Final energy: -90.0 eV for the cell shown
# - Formation energy without anion corrections: -41.121 kcal/mol of atoms
data_SrHfF2
_chemical_formula_sum 'Sr4 Hf4 F8'
_cell_length_a 5.622
_cell_length_b 5.622
_cell_length_c 10.582
_cell_angle_alpha 90.00
_cell_angle_beta 90.00
_cell_angle_gamma 90.00
_symmetry_space_group_name_H-M 'I -4 2 d'
_symmetry_Int_Tables_number 122
_symmetry_space_group_name_Hall 'I -4 2bw'
loop_
_atom_site_label
_atom_site_type_symbol
_atom_site_fract_x
_atom_site_fract_y
_atom_site_fract_z
Sr1 Sr 0.000 0.000 0.000
Hf1 Hf 0.000 0.000 0.500
F1 F 0.221 0.250 0.625

***

# 6
# Sr2HfTiF GGA-PBE relaxed
# - Final energy: -24.5 eV for the cell shown
# - Formation energy without anion corrections: -6.507 kcal/mol of atoms
data_Sr2HfTiF
_chemical_formula_sum 'Sr2 Hf1 Ti1 F1'
_cell_length_a 4.884
_cell_length_b 4.884
_cell_length_c 5.425
_cell_angle_alpha 90.00
_cell_angle_beta 90.00
_cell_angle_gamma 90.00
_symmetry_space_group_name_H-M 'P 4/m m m'
_symmetry_Int_Tables_number 123
_symmetry_space_group_name_Hall '-P 4 2'
loop_
_atom_site_label
_atom_site_type_symbol
_atom_site_fract_x
_atom_site_fract_y
_atom_site_fract_z
Sr1 Sr 0.000 0.500 0.000
Hf1 Hf 0.000 0.000 0.500
Ti1 Ti 0.500 0.500 0.500
F1 F 0.000 0.000 0.000